Entry 1:
A relaxed La2Pm5HoTh crystal, computed with PBE.

Unit cell a=5.7361 b=10.6791 c=10.6969 alpha=90.00 beta=90.00 gamma=105.58
Last column: nearest neighbours and their distance in Å.
Element x y z (fractional)
1 La 0.8833 0.7666 0.8167  8 Pm 3.27-3.63
2 La 0.1151 0.2303 0.7325  1 Th 3.44, 7 Pm 3.52-3.74, 2 Ho 3.79
3 La 0.1167 0.2334 0.3167  8 Pm 3.27-3.63
4 La 0.8849 0.7697 0.2325  1 Th 3.44, 7 Pm 3.52-3.74, 2 Ho 3.79
5 Pm 0.3869 0.7737 0.0242  6 Pm 3.58-3.92, 4 La 3.63, 1 Th 3.86
6 Pm 0.7241 0.4483 0.8131  1 Ho 3.10, 1 La 3.27, 2 Pm 3.42
7 Pm 0.4817 0.9634 0.7431  2 Ho 3.27-3.41, 2 Pm 3.58, 2 La 3.60
8 Pm 0.2944 0.5888 0.7035  2 Pm 3.42, 1 Ho 3.47, 3 Th 3.53-3.82, 3 La 3.61-3.70
9 Pm 0.9842 0.9683 0.5203  2 Ho 3.35, 3 La 3.49-3.69, 2 Pm 3.73
10 Pm 0.6131 0.2263 0.5242  6 Pm 3.58-3.92, 4 La 3.63, 1 Th 3.86
11 Pm 0.2759 0.5517 0.3131  1 Ho 3.10, 1 La 3.27, 2 Pm 3.42
12 Pm 0.5183 0.0366 0.2431  2 Ho 3.27-3.41, 2 Pm 3.58, 2 La 3.60
13 Pm 0.7056 0.4112 0.2035  2 Pm 3.42, 1 Ho 3.47, 3 Th 3.53-3.82, 3 La 3.61-3.70
14 Pm 0.0158 0.0317 0.0203  2 Ho 3.35, 3 La 3.49-3.69, 2 Pm 3.73
15 Ho 0.5940 0.1881 0.9598  6 Pm 3.10-3.47
16 Ho 0.4060 0.8119 0.4598  6 Pm 3.10-3.47
17 Th 0.8006 0.6012 0.5107  2 La 3.44-3.69, 7 Pm 3.53-3.82, 2 Ho 3.64
18 Th 0.1994 0.3988 0.0107  2 La 3.44-3.69, 7 Pm 3.53-3.82, 2 Ho 3.64

The formation energy comes out at 1.3 eV/f.u. The value obtained for the mass density is 7.37 g/cm3.



Entry 2:
A relaxed La3PmHo6Th2 crystal, computed with PBE.

Unit cell a=6.2515 b=6.2515 c=11.7962 alpha=95.09 beta=95.09 gamma=119.98
Last column: nearest neighbours and their distance in Å.
Element x y z (fractional)
1 La 0.1658 0.8342 0.5000  6 La 3.59-3.62, 6 Ho 3.62-3.64
2 La 0.8342 0.1658 0.5000  6 La 3.59-3.62, 6 Ho 3.62-3.64
3 La 0.5000 0.5000 0.5000  6 La 3.61-3.62, 6 Ho 3.62-3.64
4 Pm 0.0000 0.0000 0.0000  6 Ho 3.53, 6 Th 3.61
5 Ho 0.9189 0.5811 0.7565  2 Th 3.50-3.51, 1 Pm 3.53, 6 Ho 3.59-3.66, 3 La 3.62-3.64
6 Ho 0.7435 0.7435 0.2437  2 Th 3.50, 1 Pm 3.53, 6 Ho 3.59-3.66, 3 La 3.62-3.64
7 Ho 0.0811 0.4189 0.2435  2 Th 3.50-3.51, 1 Pm 3.53, 6 Ho 3.59-3.66, 3 La 3.62-3.64
8 Ho 0.5811 0.9189 0.7565  2 Th 3.50-3.51, 1 Pm 3.53, 6 Ho 3.59-3.66, 3 La 3.62-3.64
9 Ho 0.2565 0.2565 0.7563  2 Th 3.50, 1 Pm 3.53, 6 Ho 3.59-3.66, 3 La 3.62-3.64
10 Ho 0.4189 0.0811 0.2435  2 Th 3.50-3.51, 1 Pm 3.53, 6 Ho 3.59-3.66, 3 La 3.62-3.64
11 Th 0.3334 0.6666 0.0000  6 Ho 3.50-3.51, 3 Th 3.61, 3 Pm 3.61
12 Th 0.6666 0.3334 0.0000  6 Ho 3.50-3.51, 3 Th 3.61, 3 Pm 3.61

The formation energy comes out at 0.3 eV/f.u. The value obtained for the mass density is 8.52 g/cm3.